First-principles (PBE) data for an optimized crystal structure of Sm4IrOs, as listed in Alexandria via LeMat-Bulk.

abc: 9.1158 13.2190 6.3883
angles: 90.00 123.78 90.00
Closest atoms and distances in Å follow each position.
Space group C2/c (No. 15)
Inequivalent atoms, fractional coordinates:
Sm  0.1297  0.1754  0.0965 [8 per cell]  2 Os 2.94-3.02, 2 Ir 2.99-3.10
Sm  0.1955  0.4357  0.2664 [8 per cell]  2 Ir 2.90-3.16, 2 Os 2.91-2.95
Ir  0.0000  0.3643  0.7500 [4 per cell]  8 Sm 2.90-3.16
Os  0.0000  0.0015  0.7500 [4 per cell]  8 Sm 2.91-3.02, 2 Os 3.19

Calculated values
E_tot = -6.8753 eV per atom
ΔE to the lowest computed polymorph = 0 meV per atom